Record 1
The following is a DFT calculation (PBE) of an optimized crystal structure of LiY4Tl5.

Computed properties:
Magnetization, Bohr magnetons per cell: 0.11
E_tot, eV per atom: -4.31
Formation energy from the elements, eV/atom: -0.35

Structure (CIF):
```
data_LiY4Tl5
_chemical_formula_sum 'Li1 Y4 Tl5'
_space_group_name_H-M_alt 'P 4/m m m'
_space_group_IT_number 123
_space_group_name_Hall '-P 4 2'
_cell_length_a 3.602
_cell_length_b 3.602
_cell_length_c 20.122
_cell_angle_alpha 90.00
_cell_angle_beta 90.00
_cell_angle_gamma 90.00
loop_
_atom_site_label
_atom_site_type_symbol
_atom_site_fract_x
_atom_site_fract_y
_atom_site_fract_z
Li1 Li 0.000 0.000 0.000
Y1 Y 0.000 0.000 0.185
Y2 Y 0.000 0.000 0.395
Tl1 Tl 0.500 0.500 0.081
Tl2 Tl 0.500 0.500 0.290
Tl3 Tl 0.500 0.500 0.500
```

***

Record 2
The following is a DFT calculation (PBE) of an optimized crystal structure of LiY5Tl3.

Computed properties:
Magnetization, Bohr magnetons per cell: 0.01
E_tot, eV per atom: -4.91
Formation energy from the elements, eV/atom: -0.32

Structure (CIF):
```
data_LiY5Tl3
_chemical_formula_sum 'Li2 Y10 Tl6'
_space_group_name_H-M_alt 'P 63/m c m'
_space_group_IT_number 193
_space_group_name_Hall '-P 6c 2'
_cell_length_a 9.2751
_cell_length_b 9.2751
_cell_length_c 6.6852
_cell_angle_alpha 90.00
_cell_angle_beta 90.00
_cell_angle_gamma 120.00
loop_
_atom_site_label
_atom_site_type_symbol
_atom_site_fract_x
_atom_site_fract_y
_atom_site_fract_z
Li1 Li 0.0000 0.0000 0.0000
Y1 Y 0.0000 0.3014 0.2500
Y2 Y 0.3333 0.6667 0.0000
Tl1 Tl 0.0000 0.3567 0.7500
```

***

Record 3
The following is a DFT calculation (PBE) of an optimized crystal structure of Li5Y2Tl4.

Computed properties:
Magnetization, Bohr magnetons per cell: 0.00
E_tot, eV per atom: -3.03
Formation energy from the elements, eV/atom: -0.12

Structure (CIF):
```
data_Li5Y2Tl4
_chemical_formula_sum 'Li20 Y8 Tl16'
_space_group_name_H-M_alt 'F m m m'
_space_group_IT_number 69
_space_group_name_Hall '-F 2 2'
_cell_length_a 6.265
_cell_length_b 9.344
_cell_length_c 17.859
_cell_angle_alpha 90.00
_cell_angle_beta 90.00
_cell_angle_gamma 90.00
loop_
_atom_site_label
_atom_site_type_symbol
_atom_site_fract_x
_atom_site_fract_y
_atom_site_fract_z
Li1 Li 0.000 0.000 0.000
Li2 Li 0.250 0.250 0.000
Li3 Li 0.250 0.250 0.250
Y1 Y 0.000 0.000 0.374
Tl1 Tl 0.000 0.160 0.131
```

***

Record 4
The following is a DFT calculation (PBE) of an optimized crystal structure of LiY2Tl.

Computed properties:
Magnetization, Bohr magnetons per cell: 0.00
E_tot, eV per atom: -4.41
Formation energy from the elements, eV/atom: -0.11

Structure (CIF):
```
data_LiY2Tl
_chemical_formula_sum 'Li2 Y4 Tl2'
_space_group_name_H-M_alt 'I -4 m 2'
_space_group_IT_number 119
_space_group_name_Hall 'I -4 -2'
_cell_length_a 4.550
_cell_length_b 4.550
_cell_length_c 10.069
_cell_angle_alpha 90.00
_cell_angle_beta 90.00
_cell_angle_gamma 90.00
loop_
_atom_site_label
_atom_site_type_symbol
_atom_site_fract_x
_atom_site_fract_y
_atom_site_fract_z
Li1 Li 0.000 0.000 0.000
Y1 Y 0.000 0.000 0.500
Y2 Y 0.000 0.500 0.250
Tl1 Tl 0.000 0.500 0.750
```

***

Record 5
The following is a DFT calculation (PBE) of an optimized crystal structure of LiY2Tl.

Computed properties:
Magnetization, Bohr magnetons per cell: 0.00
E_tot, eV per atom: -4.52
Formation energy from the elements, eV/atom: -0.22

Structure (CIF):
```
data_LiY2Tl
_chemical_formula_sum 'Li1 Y2 Tl1'
_space_group_name_H-M_alt 'P 4/m m m'
_space_group_IT_number 123
_space_group_name_Hall '-P 4 2'
_cell_length_a 5.095
_cell_length_b 5.095
_cell_length_c 4.055
_cell_angle_alpha 90.00
_cell_angle_beta 90.00
_cell_angle_gamma 90.00
loop_
_atom_site_label
_atom_site_type_symbol
_atom_site_fract_x
_atom_site_fract_y
_atom_site_fract_z
Li1 Li 0.000 0.000 0.000
Y1 Y 0.000 0.500 0.500
Tl1 Tl 0.500 0.500 0.000
```

***

Record 6
The following is a DFT calculation (PBE) of an optimized crystal structure of Li2Y2Tl.

Computed properties:
Magnetization, Bohr magnetons per cell: 0.00
E_tot, eV per atom: -3.67
Formation energy from the elements, eV/atom: 0.15

Structure (CIF):
```
data_Li2Y2Tl
_chemical_formula_sum 'Li4 Y4 Tl2'
_space_group_name_H-M_alt 'P 4/m b m'
_space_group_IT_number 127
_space_group_name_Hall '-P 4 2ab'
_cell_length_a 8.477
_cell_length_b 8.477
_cell_length_c 3.734
_cell_angle_alpha 90.00
_cell_angle_beta 90.00
_cell_angle_gamma 90.00
loop_
_atom_site_label
_atom_site_type_symbol
_atom_site_fract_x
_atom_site_fract_y
_atom_site_fract_z
Li1 Li 0.148 0.352 0.000
Y1 Y 0.149 0.649 0.500
Tl1 Tl 0.000 0.000 0.500
```

***

Record 7
The following is a DFT calculation (PBE) of an optimized crystal structure of LiY4Tl2.

Computed properties:
Magnetization, Bohr magnetons per cell: 2.91
E_tot, eV per atom: -4.83
Formation energy from the elements, eV/atom: -0.18

Structure (CIF):
```
data_LiY4Tl2
_chemical_formula_sum 'Li3 Y12 Tl6'
_space_group_name_H-M_alt 'R -3 m'
_space_group_IT_number 166
_space_group_name_Hall '-R 3 2"'
_cell_length_a 5.2648
_cell_length_b 5.2648
_cell_length_c 25.1132
_cell_angle_alpha 90.00
_cell_angle_beta 90.00
_cell_angle_gamma 120.00
loop_
_atom_site_label
_atom_site_type_symbol
_atom_site_fract_x
_atom_site_fract_y
_atom_site_fract_z
Li1 Li 0.0000 0.0000 0.0000
Y1 Y 0.0000 0.0000 0.1309
Y2 Y 0.0000 0.0000 0.3846
Tl1 Tl 0.0000 0.0000 0.2575
```

***

Record 8
The following is a DFT calculation (PBE) of an optimized crystal structure of Li4YTl3.

Computed properties:
Magnetization, Bohr magnetons per cell: 0.00
E_tot, eV per atom: -2.89
Formation energy from the elements, eV/atom: -0.23

Structure (CIF):
```
data_Li4YTl3
_chemical_formula_sum 'Li12 Y3 Tl9'
_space_group_name_H-M_alt 'R -3 m'
_space_group_IT_number 166
_space_group_name_Hall '-R 3 2"'
_cell_length_a 4.8717
_cell_length_b 4.8717
_cell_length_c 24.9602
_cell_angle_alpha 90.00
_cell_angle_beta 90.00
_cell_angle_gamma 120.00
loop_
_atom_site_label
_atom_site_type_symbol
_atom_site_fract_x
_atom_site_fract_y
_atom_site_fract_z
Li1 Li 0.0000 0.0000 0.1092
Li2 Li 0.0000 0.0000 0.3695
Y1 Y 0.0000 0.0000 0.5000
Tl1 Tl 0.0000 0.0000 0.0000
Tl2 Tl 0.0000 0.0000 0.2359
```

***

Record 9
The following is a DFT calculation (PBE) of an optimized crystal structure of Li2YTl.

Computed properties:
Magnetization, Bohr magnetons per cell: 0.00
E_tot, eV per atom: -3.28
Formation energy from the elements, eV/atom: -0.12

Structure (CIF):
```
data_Li2YTl
_chemical_formula_sum 'Li2 Y1 Tl1'
_space_group_name_H-M_alt 'P 1 2/m 1'
_space_group_IT_number 10
_cell_length_a 3.440
_cell_length_b 5.178
_cell_length_c 5.500
_cell_angle_alpha 90.00
_cell_angle_beta 93.57
_cell_angle_gamma 90.00
loop_
_space_group_symop_operation_xyz
'x,y,z'
'-x,-y,-z'
'-x,y,-z'
'x,-y,z'
loop_
_atom_site_label
_atom_site_type_symbol
_atom_site_fract_x
_atom_site_fract_y
_atom_site_fract_z
Li1 Li 0.151 0.000 0.266
Y1 Y 0.500 0.500 0.000
Tl1 Tl 0.000 0.500 0.500
```

***

Record 10
The following is a DFT calculation (PBE) of an optimized crystal structure of LiY5Tl6.

Computed properties:
Magnetization, Bohr magnetons per cell: 0.00
E_tot, eV per atom: -4.39
Formation energy from the elements, eV/atom: -0.36

Structure (CIF):
```
data_LiY5Tl6
_chemical_formula_sum 'Li2 Y10 Tl12'
_space_group_name_H-M_alt 'C m m m'
_space_group_IT_number 65
_space_group_name_Hall '-C 2 2'
_cell_length_a 5.312
_cell_length_b 16.014
_cell_length_c 7.516
_cell_angle_alpha 90.00
_cell_angle_beta 90.00
_cell_angle_gamma 90.00
loop_
_atom_site_label
_atom_site_type_symbol
_atom_site_fract_x
_atom_site_fract_y
_atom_site_fract_z
Li1 Li 0.000 0.000 0.000
Y1 Y 0.000 0.000 0.500
Y2 Y 0.000 0.334 0.500
Y3 Y 0.000 0.336 0.000
Tl1 Tl 0.000 0.162 0.244
Tl2 Tl 0.000 0.500 0.239
```

***

Record 11
The following is a DFT calculation (PBE) of an optimized crystal structure of Li2YTl.

Computed properties:
Magnetization, Bohr magnetons per cell: 0.22
E_tot, eV per atom: -3.28
Formation energy from the elements, eV/atom: -0.11

Structure (CIF):
```
data_Li2YTl
_chemical_formula_sum 'Li2 Y1 Tl1'
_space_group_name_H-M_alt 'P 4 m m'
_space_group_IT_number 99
_cell_length_a 3.603
_cell_length_b 3.603
_cell_length_c 7.311
_cell_angle_alpha 90.00
_cell_angle_beta 90.00
_cell_angle_gamma 90.00
loop_
_space_group_symop_operation_xyz
'x,y,z'
'-y,x,z'
'-x,-y,z'
'y,-x,z'
'-x,y,z'
'y,x,z'
'x,-y,z'
'-y,-x,z'
loop_
_atom_site_label
_atom_site_type_symbol
_atom_site_fract_x
_atom_site_fract_y
_atom_site_fract_z
Li1 Li 0.000 0.000 0.000
Li2 Li 0.500 0.500 0.202
Y1 Y 0.500 0.500 0.691
Tl1 Tl 0.000 0.000 0.413
```

***

Record 12
The following is a DFT calculation (PBE) of an optimized crystal structure of Li3YTl3.

Computed properties:
Magnetization, Bohr magnetons per cell: 0.00
E_tot, eV per atom: -2.56
Formation energy from the elements, eV/atom: 0.20

Structure (CIF):
```
data_Li3YTl3
_chemical_formula_sum 'Li6 Y2 Tl6'
_space_group_name_H-M_alt 'P m -3 n'
_space_group_IT_number 223
_space_group_name_Hall '-P 4n 2 3'
_cell_length_a 7.138
_cell_length_b 7.138
_cell_length_c 7.138
_cell_angle_alpha 90.00
_cell_angle_beta 90.00
_cell_angle_gamma 90.00
loop_
_atom_site_label
_atom_site_type_symbol
_atom_site_fract_x
_atom_site_fract_y
_atom_site_fract_z
Li1 Li 0.000 0.250 0.500
Y1 Y 0.000 0.000 0.000
Tl1 Tl 0.000 0.500 0.250
```

***

| no. | V (Å³ per atom) |
| --- | --- |
| 1 | 26.10 |
| 2 | 27.67 |
| 3 | 23.76 |
| 4 | 26.06 |
| 5 | 26.32 |
| 6 | 26.84 |
| 7 | 28.71 |
| 8 | 21.38 |
| 9 | 24.44 |
| 10 | 26.64 |
| 11 | 23.72 |
| 12 | 25.97 |